[1]
{"formula": "CrFeNi6", "functional": "PBE", "state": "relaxed", "sg": "No. 65", "final_energy_ev_per_atom": -6.6298, "de_polymorph_mev_per_atom": 3, "m_tot_mub_per_cell": 29.3, "cell": [[-1.3591, 3.9736, -4.4818], [-5.1541, -1.6304, 2.9155], [1.2062, 7.6295, 6.3987]], "species": ["Ni", "Ni", "Ni", "Ni", "Ni", "Ni", "Ni", "Ni", "Ni", "Ni", "Ni", "Ni", "Ni", "Ni", "Ni", "Ni", "Ni", "Ni", "Ni", "Ni", "Ni", "Ni", "Ni", "Ni", "Cr", "Cr", "Cr", "Cr", "Fe", "Fe", "Fe", "Fe"], "frac_coords": [[0.5000, 0.5000, 0.2500], [0.3757, 0.1258, 0.1248], [0.8740, 0.6236, 0.6253], [0.1260, 0.3764, 0.8746], [0.3757, 0.1258, 0.3751], [0.8742, 0.6243, 0.3751], [0.7504, 0.2496, 0.5003], [0.1258, 0.3757, 0.1248], [0.8742, 0.6243, 0.1248], [0.8740, 0.6236, 0.8746], [0.2496, 0.7504, 0.9997], [0.1258, 0.3757, 0.3751], [0.3764, 0.1260, 0.6253], [0.3764, 0.1260, 0.8746], [0.5000, 0.5000, 0.7500], [0.0000, 0.0000, 0.2499], [0.2496, 0.7504, 0.5003], [0.6236, 0.8740, 0.6253], [0.6243, 0.8742, 0.1248], [0.1260, 0.3764, 0.6253], [0.6236, 0.8740, 0.8746], [0.7504, 0.2496, 0.9997], [0.6243, 0.8742, 0.3751], [0.0000, 0.0000, 0.7499], [0.0000, 0.0000, 0.4990], [0.2498, 0.7502, 0.2500], [0.7502, 0.2498, 0.2500], [0.0000, 0.0000, 0.0009], [0.2491, 0.7509, 0.7500], [0.5000, 0.5000, 0.5002], [0.7509, 0.2491, 0.7500], [0.5000, 0.5000, 0.9998]]}

=====

[2]
{"formula": "LiNiPIr", "functional": "PBE", "state": "relaxed", "sg": "No. 216", "final_energy_ev_per_atom": -5.8497, "m_tot_mub_per_cell": 0.0, "cell": [[-2.2898, -1.3634, -2.9966], [1.6906, -1.1682, -3.4437], [0.0811, -3.8888, -0.9759]], "species": ["Ir", "Ni", "P", "Li"], "frac_coords": [[0.0000, 0.0000, 0.0000], [0.5000, 0.5000, 0.5000], [0.7500, 0.7500, 0.7500], [0.2500, 0.2500, 0.2500]]}

=====

[3]
{"formula": "KBi2TeO6", "functional": "PBE", "state": "relaxed", "e_form_raw_mev_per_atom": -1171, "sg": "No. 146", "final_energy_ev_per_atom": -5.3463, "m_tot_mub_per_cell": 0.0, "cell": [[6.0290, -0.0003, 0.0002], [3.0142, 5.2215, 0.0005], [3.0141, 1.7410, 5.5639]], "species": ["O", "O", "O", "O", "O", "O", "Bi", "Bi", "K", "Te"], "frac_coords": [[0.3362, 0.6950, 0.7820], [0.1870, 0.3362, 0.7819], [0.6949, 0.1871, 0.7819], [0.5708, 0.2846, 0.2062], [0.9385, 0.5707, 0.2061], [0.2846, 0.9384, 0.2062], [0.5338, 0.5338, 0.3986], [0.0038, 0.0038, 0.9887], [0.7814, 0.7815, 0.6558], [0.3307, 0.3307, 0.0080]]}

=====

[4]
{"formula": "FeSb3", "functional": "PBE", "state": "relaxed", "e_form_raw_mev_per_atom": 200, "sg": "No. 166", "final_energy_ev_per_atom": -5.0075, "de_polymorph_mev_per_atom": 226, "m_tot_mub_per_cell": 1.7, "cell": [[-6.2056, 4.2126, -5.6815], [-4.6459, 2.1815, -7.8861], [-7.1827, 0.9932, -5.9964]], "species": ["Fe", "Sb", "Sb", "Sb"], "frac_coords": [[0.0000, 0.0000, 0.0000], [0.7310, 0.7310, 0.7310], [0.5000, 0.5000, 0.5000], [0.2690, 0.2690, 0.2690]]}

=====

[5]
{"formula": "U2Tl2AuSe6", "functional": "PBE", "state": "relaxed", "e_form_raw_mev_per_atom": -762, "sg": "No. 12", "final_energy_ev_per_atom": -5.4429, "m_tot_mub_per_cell": 3.0, "cell": [[-4.6506, -3.7276, 4.5091], [2.6092, -2.4743, -6.5517], [6.6549, -1.4856, 4.1996]], "species": ["Se", "Se", "Se", "Se", "Se", "Se", "Au", "U", "U", "Tl", "Tl"], "frac_coords": [[0.2600, 0.2600, 0.3232], [0.7400, 0.7400, 0.6768], [0.9491, 0.5497, 0.2831], [0.4503, 0.0509, 0.7169], [0.5497, 0.9491, 0.2831], [0.0509, 0.4503, 0.7169], [0.0000, 0.0000, 0.5000], [0.6626, 0.3374, 0.5000], [0.3374, 0.6626, 0.5000], [0.1477, 0.8523, 0.0000], [0.8523, 0.1477, 0.0000]]}

=====

[6]
{"formula": "HoUBi2", "functional": "PBE", "state": "relaxed", "sg": "No. 166", "final_energy_ev_per_atom": -6.2407, "de_polymorph_mev_per_atom": 0, "m_tot_mub_per_cell": 2.8, "cell": [[4.4221, 0.0000, 0.0000], [2.2111, 3.8297, 0.0000], [2.2111, 1.2766, 7.4847]], "species": ["Ho", "Bi", "Bi", "U"], "frac_coords": [[0.0000, 0.0000, 0.0000], [0.2516, 0.2516, 0.2453], [0.7484, 0.7484, 0.7547], [0.5000, 0.5000, 0.5000]]}

=====

[7]
{"formula": "RbAg2Pt2", "functional": "PBE", "state": "relaxed", "sg": "No. 127", "final_energy_ev_per_atom": -3.6169, "de_polymorph_mev_per_atom": 10, "m_tot_mub_per_cell": 0.0, "cell": [[8.5570, 0.0000, 0.0000], [0.0000, 8.5570, 0.0000], [0.0000, 0.0000, 2.8230]], "species": ["Ag", "Ag", "Ag", "Ag", "Pt", "Pt", "Pt", "Pt", "Rb", "Rb"], "frac_coords": [[0.6228, 0.1228, 0.0000], [0.1228, 0.3772, 0.0000], [0.8772, 0.6228, 0.0000], [0.3772, 0.8772, 0.0000], [0.1710, 0.6710, 0.5000], [0.3290, 0.1710, 0.5000], [0.6710, 0.8290, 0.5000], [0.8290, 0.3290, 0.5000], [0.0000, 0.0000, 0.0000], [0.5000, 0.5000, 0.0000]]}

=====

[8]
{"formula": "Ac3SnAs2Pt9", "functional": "PBE", "state": "relaxed", "sg": "No. 164", "final_energy_ev_per_atom": -5.9287, "m_tot_mub_per_cell": 0.0, "cell": [[7.6513, 0.0000, 0.0000], [-3.8256, 6.6262, 0.0000], [0.0000, 0.0000, 6.8615]], "species": ["Pt", "Pt", "Pt", "Pt", "Pt", "Pt", "Pt", "Pt", "Pt", "Sn", "As", "As", "Ac", "Ac", "Ac"], "frac_coords": [[0.0000, 0.5000, 0.0000], [0.1735, 0.8265, 0.3222], [0.6531, 0.8265, 0.3222], [0.1735, 0.3469, 0.3222], [0.3469, 0.1735, 0.6778], [0.5000, 0.5000, 0.0000], [0.8265, 0.6531, 0.6778], [0.8265, 0.1735, 0.6778], [0.5000, 0.0000, 0.0000], [0.0000, 0.0000, 0.5000], [0.6667, 0.3333, 0.8516], [0.3333, 0.6667, 0.1484], [0.3333, 0.6667, 0.6600], [0.6667, 0.3333, 0.3400], [0.0000, 0.0000, 0.0000]]}